[1]
Below is CsPrO3 after structural relaxation, with properties calculated at the GGA-PBE level.

## Properties
**E**: -5.81 eV/atom
**Space group**: P4mm, No. 99

```
CsPrO3
1.0
-3.5979 0.7768 2.8581
-2.5432 -3.1150 -2.3549
1.5272 -3.3985 2.8461
Cs O Pr
1 3 1
Cartesian
0.1208 -0.2689 0.2252
-0.9103 -1.5892 3.0852
-0.3829 -3.5351 0.4787
-2.9506 -1.4360 0.4751
-2.1870 -3.1353 1.8982
```

[2]
Below is Zr3ScSb2 after structural relaxation, with properties calculated at the GGA-PBE level.

## Properties
**E**: -7.40 eV/atom
**Space group**: I4mm, No. 107

```
Zr3ScSb2
1.0
-1.8656 -3.8346 7.3633
-6.4080 -4.2099 3.6900
5.1912 1.5002 -6.5729
Sb Sc Zr
2 1 3
Cartesian
-7.1156 -6.9185 9.5062
-1.1567 -1.1247 1.5453
-5.6028 -5.4476 7.4851
-2.6813 -2.6071 3.5822
-2.4694 -5.1849 5.9157
-4.7406 -5.3726 4.0790
```

[3]
Below is AcPuSc after structural relaxation, with properties calculated at the GGA-PBE level.

## Properties
**Energy relative to the elements**: 1.61 eV per atom
**Space group**: F-43m, No. 216

```
AcPuSc
1.0
2.8044 -2.6287 3.8295
3.2899 2.7516 3.3234
-1.3177 0.6107 5.2279
Pu Sc Ac
1 1 1
Cartesian
3.5824 0.5502 9.2857
0.0000 0.0000 0.0000
1.1941 0.1834 3.0952
```

[4]
Below is Gd3Er2Lu3 after structural relaxation, with properties calculated at the GGA-PBE level.

## Properties
**Energy relative to the elements**: 0.01 eV per atom
**Space group**: Amm2, No. 38

```
Gd3Er2Lu3
1.0
5.5636 0.0000 0.0000
0.0000 3.5734 6.1880
0.0000 -3.5734 6.1880
Lu Gd Er
3 3 2
Cartesian
0.0000 -1.7814 7.2181
2.7818 0.0000 2.0656
0.0000 1.7814 7.2181
0.0000 0.0000 10.3152
2.7818 -1.7864 5.1507
2.7818 1.7864 5.1507
0.0000 0.0000 4.1338
2.7818 0.0000 8.2515
```

[5]
Below is Li4AlZn2In after structural relaxation, with properties calculated at the GGA-PBE level.

## Properties
**E**: -2.33 eV/atom
**Space group**: P-4m2, No. 115

```
Li4AlZn2In
1.0
-3.6779 2.3603 0.6832
-2.1295 -3.6753 1.2337
1.7412 0.9898 5.9543
Li In Al Zn
4 1 1 2
Cartesian
-1.4210 1.4178 1.7709
0.2585 -1.0855 5.1418
0.8706 0.4949 2.9771
-2.9037 -0.6575 0.9584
-2.0331 -0.1626 3.9356
0.0000 0.0000 0.0000
-0.6619 -1.6087 1.9945
-0.5006 1.9409 4.9182
```

[6]
Below is PmNbPO after structural relaxation, with properties calculated at the GGA-PBE level.

## Properties
**E**: -7.78 eV/atom
**Space group**: Pmc2_1, No. 26

```
PmNbPO
1.0
-1.6392 0.9456 4.2307
-5.5469 -0.9050 -1.9469
0.4163 -5.5828 1.4091
Pm O P Nb
2 2 2 2
Cartesian
-4.7397 -2.6148 1.2866
-1.8775 -4.9732 2.9227
-4.4575 -2.8061 -1.0999
-0.5749 -4.9980 0.8944
-4.5882 -5.4515 1.9794
-2.0237 -2.2077 2.2479
-0.6020 -2.9986 0.4370
-4.7257 -0.8461 -1.6418
```

[7]
Below is Sr2AgC after structural relaxation, with properties calculated at the GGA-PBE level.

## Properties
**E**: -3.47 eV/atom
**Space group**: Cmcm, No. 63

```
Sr2AgC
1.0
-3.5099 9.1028 -3.4197
-0.0752 -10.1572 1.9238
-2.1952 0.8934 4.6313
Ag C Sr
2 2 4
Cartesian
-1.8444 -8.7986 5.2062
-3.9359 8.6376 -2.0709
-1.2711 -6.3056 2.0750
-4.5093 6.1446 1.0604
-2.6751 1.5677 -0.1094
-2.4548 -5.3759 4.2566
-3.3256 5.2149 -1.1213
-3.1052 -1.7287 3.2447
```

[8]
Below is TbY2Sb3 after structural relaxation, with properties calculated at the GGA-PBE level.

## Properties
**E**: -6.15 eV/atom
**Space group**: P-3m1, No. 164

```
TbY2Sb3
1.0
-3.3599 2.3910 1.5095
-0.6296 -2.8410 -3.2889
-2.3044 -7.7347 7.1227
Sb Y Tb
3 2 1
Cartesian
0.0000 0.0000 0.0000
-3.0765 -6.2554 3.0608
-3.2174 -1.9293 2.2825
-1.9235 -2.3853 -0.5030
-4.3704 -5.7994 5.8463
-1.1522 -3.8674 3.5613
```

| no. | calculated volume (Å³/cell) |
| --- | --- |
| 1 | 102 |
| 2 | 137 |
| 3 | 113 |
| 4 | 246 |
| 5 | 123 |
| 6 | 159 |
| 7 | 212 |
| 8 | 180 |